Below is an optimized crystal structure of Cs2CoSiO4, with properties calculated at the PBE with a Hubbard U level.

D(E_F) in states/eV/atom: 0.0000
M_tot in μB/f.u.: 3.035
E in eV per atom: -5.935

Unit cell a=5.094 b=12.417 c=21.747 alpha=90.00 beta=90.00 gamma=90.00
Space group Fddd (No. 70, origin choice 2)
Inequivalent atoms, fractional coordinates:
Cs  0.125  0.125  0.298 (multiplicity 16)
Co  0.125  0.125  0.125 (multiplicity 8)
Si  0.125  0.125  0.625 (multiplicity 8)
O  0.080  0.299  0.834 (multiplicity 32)